# 1
Material: VFeSnRh
Method: DFT, GGA-PBE
State: relaxed

Output
symmetry: F-43m
electronic total energy: -7.38 eV/atom

The structure in POSCAR format:
```
VFeSnRh
1.0
6.187 0.000 0.000
0.000 6.187 0.000
0.000 0.000 6.187
V Fe Sn Rh
4 4 4 4
Cartesian
0.000 0.000 0.000
0.000 3.094 3.094
3.094 0.000 3.094
3.094 3.094 0.000
1.547 1.547 4.640
1.547 4.640 1.547
4.640 1.547 1.547
4.640 4.640 4.640
0.000 0.000 3.094
0.000 3.094 0.000
3.094 0.000 0.000
3.094 3.094 3.094
1.547 1.547 1.547
1.547 4.640 4.640
4.640 1.547 4.640
4.640 4.640 1.547
```

***

# 2
Material: Dy4TeIr
Method: DFT, GGA-PBE
State: relaxed

Output
symmetry: C2/m
formation energy without anion corrections: -0.5452 eV/atom
distance to the lowest polymorph of the same formula: 285.5 meV per atom

The structure in POSCAR format:
```
Dy4TeIr
1.0
9.780 -2.715 0.000
9.780 2.715 0.000
-4.225 0.000 8.661
Dy Te Ir
8 2 2
Cartesian
-0.245 0.000 1.757
0.120 0.000 7.712
3.467 0.000 2.733
3.598 0.000 8.481
11.736 0.000 0.180
11.868 0.000 5.928
15.214 0.000 0.949
15.580 0.000 6.904
1.002 0.000 4.708
14.332 0.000 3.953
2.034 0.000 0.398
13.300 0.000 8.263
```